1.
Er3AlZn: optimized geometry, PBE.

The structure in POSCAR format:
```
Er3AlZn
1.0
2.4980 -9.8257 0.0000
2.4980 9.8257 0.0000
0.0000 0.0000 4.9951
Er Al Zn
6 2 2
direct
0.0664 0.9336 0.7500
0.2499 0.7501 0.7500
0.4324 0.5676 0.7500
0.5676 0.4324 0.2500
0.7501 0.2499 0.2500
0.9336 0.0664 0.2500
0.1594 0.8406 0.2500
0.8406 0.1594 0.7500
0.3403 0.6597 0.2500
0.6597 0.3403 0.7500
```

Values from the calculation:
For the magnetic moment, the calculation gives 0.0 μB/cell. For the formation energy, the calculation gives -1.47 eV/f.u. As for the relative energy among the computed polymorphs: 0.0 meV per atom. The density of states at the Fermi level comes out at 0.735 states/eV/atom.

=====

2.
CdNi2BPd: optimized geometry, PBE.

The structure in POSCAR format:
```
CdNi2BPd
1.0
3.9463 0.0000 0.0000
0.0000 3.9463 0.0000
0.0000 0.0000 4.1897
Cd Ni B Pd
1 2 1 1
direct
0.0000 0.0000 0.0000
0.0000 0.5000 0.5000
0.5000 0.0000 0.5000
0.5000 0.5000 0.5000
0.5000 0.5000 0.0000
```

Values from the calculation:
For the magnetic moment, the calculation gives 0.0 μB/cell. For the formation energy, the calculation gives -0.74 eV/f.u. The density of states at the Fermi level comes out at 0.643 states/eV/atom.

=====

3.
Sm5InRh2: optimized geometry, PBE.

The structure in POSCAR format:
```
Sm5InRh2
1.0
-3.9638 3.9638 6.9064
3.9638 -3.9638 6.9064
3.9638 3.9638 -6.9064
Sm In Rh
10 2 4
direct
0.0000 0.0000 0.0000
0.0273 0.5273 0.8232
0.2041 0.0273 0.5000
0.2959 0.7959 0.8232
0.4727 0.2959 0.5000
0.5000 0.5000 0.0000
0.5273 0.7041 0.5000
0.7041 0.2041 0.1768
0.7959 0.9727 0.5000
0.9727 0.4727 0.1768
0.2500 0.2500 0.0000
0.7500 0.7500 0.0000
0.1374 0.3626 0.5000
0.3626 0.8626 0.2251
0.6374 0.1374 0.7749
0.8626 0.6374 0.5000
```

Values from the calculation:
For the magnetic moment, the calculation gives 0.0 μB/cell. For the formation energy, the calculation gives -4.46 eV/f.u. The density of states at the Fermi level comes out at 1.049 states/eV/atom.

=====

4.
LaTb12Sc6: optimized geometry, PBE.

The structure in POSCAR format:
```
LaTb12Sc6
1.0
-5.2384 5.2384 5.2384
5.2384 -5.2384 5.2384
5.2384 5.2384 -5.2384
La Tb Sc
1 12 6
direct
0.0000 0.0000 0.0000
0.0696 0.2678 0.8018
0.1982 0.4660 0.2678
0.1982 0.9304 0.7322
0.2678 0.1982 0.4660
0.2678 0.8018 0.0696
0.4660 0.2678 0.1982
0.5340 0.7322 0.8018
0.7322 0.1982 0.9304
0.7322 0.8018 0.5340
0.8018 0.0696 0.2678
0.8018 0.5340 0.7322
0.9304 0.7322 0.1982
0.1377 0.5000 0.6377
0.3623 0.8623 0.5000
0.5000 0.3623 0.8623
0.5000 0.6377 0.1377
0.6377 0.1377 0.5000
0.8623 0.5000 0.3623
```

Values from the calculation:
For the magnetic moment, the calculation gives 0.0 μB/cell. For the formation energy, the calculation gives 4.63 eV/f.u. As for the relative energy among the computed polymorphs: 0.0 meV per atom. The density of states at the Fermi level comes out at 1.715 states/eV/atom.

=====

5.
CaCd3Ga: optimized geometry, PBE.

The structure in POSCAR format:
```
CaCd3Ga
1.0
8.3826 0.0000 0.0000
0.0000 7.0679 0.0000
-2.9423 0.0000 4.0149
Ca Cd Ga
2 6 2
direct
0.0000 0.0000 0.0000
0.5000 0.5000 0.0000
0.0076 0.2988 0.5071
0.0076 0.7012 0.5071
0.3135 0.0000 0.8132
0.5076 0.2012 0.5071
0.5076 0.7988 0.5071
0.8135 0.5000 0.8132
0.2169 0.5000 0.2171
0.7169 0.0000 0.2171
```

Values from the calculation:
For the magnetic moment, the calculation gives 0.0 μB/cell. For the formation energy, the calculation gives -0.95 eV/f.u. As for the relative energy among the computed polymorphs: 27.1 meV per atom. The density of states at the Fermi level comes out at 0.316 states/eV/atom.

=====

6.
In2AsBr8: optimized geometry, PBE.

The structure in POSCAR format:
```
In2AsBr8
1.0
6.3466 -5.0829 0.0000
6.3466 5.0829 0.0000
-0.1585 0.0000 7.6069
In As Br
2 1 8
direct
0.2240 0.2240 0.3211
0.7760 0.7760 0.6789
0.0000 0.0000 0.0000
0.0744 0.6987 0.8369
0.1878 0.1878 0.6427
0.3013 0.9256 0.1631
0.4088 0.4088 0.2217
0.5912 0.5912 0.7783
0.6987 0.0744 0.8369
0.8122 0.8122 0.3573
0.9256 0.3013 0.1631
```

Values from the calculation:
For the magnetic moment, the calculation gives 1.0 μB/cell. The value obtained for the energy is -29.95 eV per cell.

=====

7.
LaMg2Si: optimized geometry, PBE.

The structure in POSCAR format:
```
LaMg2Si
1.0
6.2401 0.0000 0.0000
0.0000 11.4170 0.0000
-1.3908 0.0000 2.7364
La Mg Si
2 4 2
direct
0.0000 0.0000 0.0000
0.5000 0.5000 0.0000
0.2500 0.2500 0.5000
0.2500 0.7500 0.5000
0.7500 0.2500 0.5000
0.7500 0.7500 0.5000
0.0000 0.5000 0.0000
0.5000 0.0000 0.0000
```

Values from the calculation:
For the magnetic moment, the calculation gives 0.0 μB/cell. The value obtained for the energy is -27.28 eV per cell. The density of states at the Fermi level comes out at 0.475 states/eV/atom.

=====

8.
Na2Be2S3: optimized geometry, PBE.

The structure in POSCAR format:
```
Na2Be2S3
1.0
12.0227 0.0000 0.0000
0.0000 3.5765 0.0000
-3.6068 0.0000 5.7449
Na Be S
4 4 6
direct
0.0787 0.0000 0.3507
0.4213 0.5000 0.6493
0.5787 0.5000 0.3507
0.9213 0.0000 0.6493
0.1878 0.5000 0.0617
0.3122 0.0000 0.9383
0.6878 0.0000 0.0617
0.8122 0.5000 0.9383
0.0000 0.5000 0.0000
0.2000 0.5000 0.7564
0.3000 0.0000 0.2436
0.5000 0.0000 0.0000
0.7000 0.0000 0.7564
0.8000 0.5000 0.2436
```

Values from the calculation:
For the magnetic moment, the calculation gives 0.0 μB/cell. As for the relative energy among the computed polymorphs: 33.7 meV per atom. The density of states at the Fermi level comes out at 0.000 states/eV/atom.

=====

9.
KTbPb2I8: optimized geometry, PBE.

The structure in POSCAR format:
```
KTbPb2I8
1.0
7.3598 0.0000 0.0000
0.1322 7.8071 0.0000
0.0060 0.0018 9.7306
K Tb Pb I
1 1 2 8
direct
0.0000 0.0000 0.0000
0.0000 0.0000 0.5000
0.4999 0.5001 0.2502
0.5001 0.4999 0.7498
0.2363 0.3256 0.5001
0.2444 0.8458 0.7216
0.2447 0.8462 0.2782
0.2672 0.3628 0.0001
0.7328 0.6372 0.9999
0.7553 0.1538 0.7218
0.7556 0.1542 0.2784
0.7637 0.6744 0.4999
```

Values from the calculation:
For the magnetic moment, the calculation gives 0.0 μB/cell. The value obtained for the energy is -37.51 eV per cell. The density of states at the Fermi level comes out at 0.000 states/eV/atom.

=====

10.
Pa2AsIr: optimized geometry, PBE.

The structure in POSCAR format:
```
Pa2AsIr
1.0
5.8859 0.0000 0.0000
0.0000 3.9945 0.0000
-2.7533 0.0000 7.5796
Pa As Ir
4 2 2
direct
0.1909 0.2500 0.4127
0.2793 0.7500 0.0641
0.7207 0.2500 0.9359
0.8091 0.7500 0.5873
0.3799 0.7500 0.6995
0.6201 0.2500 0.3005
0.1166 0.2500 0.8002
0.8834 0.7500 0.1998
```

Values from the calculation:
For the magnetic moment, the calculation gives 0.0 μB/cell. For the formation energy, the calculation gives -3.41 eV/f.u. As for the relative energy among the computed polymorphs: 34.0 meV per atom. The density of states at the Fermi level comes out at 1.541 states/eV/atom.

=====

11.
KLi2RuCl8: optimized geometry, PBE.

The structure in POSCAR format:
```
KLi2RuCl8
1.0
6.0535 0.0000 0.0000
0.4737 6.9824 0.0000
1.0554 2.7440 8.0313
K Li Ru Cl
1 2 1 8
direct
0.0000 0.0000 0.0000
0.4817 0.5262 0.8225
0.5183 0.4738 0.1775
0.0000 0.5000 0.5000
0.0924 0.4878 0.7631
0.1795 0.7999 0.3775
0.3257 0.3179 0.4576
0.4630 0.7671 0.9570
0.5370 0.2329 0.0430
0.6743 0.6821 0.5424
0.8205 0.2001 0.6225
0.9076 0.5122 0.2369
```

Values from the calculation:
For the magnetic moment, the calculation gives 3.0 μB/cell. The value obtained for the energy is -42.21 eV per cell. The density of states at the Fermi level comes out at 0.227 states/eV/atom.

=====

12.
SrSiAs2Br: optimized geometry, PBE.

The structure in POSCAR format:
```
SrSiAs2Br
1.0
5.8293 0.0000 0.0000
0.0000 5.8293 0.0000
0.0000 0.0000 5.6146
Sr Si As Br
1 1 2 1
direct
0.0000 0.0000 0.0000
0.5000 0.5000 0.5000
0.0000 0.5000 0.0000
0.5000 0.0000 0.0000
0.0000 0.0000 0.5000
```

Values from the calculation:
For the magnetic moment, the calculation gives 1.3 μB/cell. As for the relative energy among the computed polymorphs: 1172.2 meV per atom. The density of states at the Fermi level comes out at 1.075 states/eV/atom.

=====

Table of theoretical density (Mg/m³), in record order: 8.05; 8.83; 8.21; 6.69; 6.24; 3.19; 3.67; 2.15; 4.83; 13.59; 2.14; 3.01